[1]
Compound: TlGa3W
Source: Alexandria via LeMat-Bulk
Functional: GGA-PBE
Structure: relaxed

total energy	-4.514	eV per atom

abc: 5.0028 5.0028 5.0028
angles: 90.00 90.00 90.00
Last column: nearest neighbours and their distance in Å.
Sites, in units of the cell vectors:
Tl 0.5000 0.5000 0.5000  12 Ga 3.54
Ga 0.0000 0.5000 0.0000  2 W 2.50
Ga 0.0000 0.0000 0.5000  2 W 2.50
Ga 0.5000 0.0000 0.0000  2 W 2.50
W 0.0000 0.0000 0.0000  6 Ga 2.50


[2]
Compound: YCoSi
Source: Alexandria via LeMat-Bulk
Functional: GGA-PBE
Structure: relaxed

formation energy (no corrections)	-721.7	meV/atom

abc: 4.1709 6.8777 7.0062
angles: 90.00 90.00 90.00
Last column: nearest neighbours and their distance in Å.
Sites, in units of the cell vectors:
Y 0.7500 0.0146 0.8106  4 Co 2.85-2.93, 6 Si 2.92-3.15
Y 0.2500 0.4854 0.3106  4 Co 2.85-2.93, 6 Si 2.92-3.15
Y 0.7500 0.5146 0.6894  4 Co 2.85-2.93, 6 Si 2.92-3.15
Y 0.2500 0.9854 0.1894  4 Co 2.85-2.93, 6 Si 2.92-3.15
Si 0.2500 0.3053 0.8967  4 Co 2.37-2.56
Si 0.2500 0.8053 0.6033  4 Co 2.37-2.56
Si 0.7500 0.6947 0.1033  4 Co 2.37-2.56
Si 0.7500 0.1947 0.3967  4 Co 2.37-2.56
Co 0.2500 0.6475 0.9341  4 Si 2.37-2.56
Co 0.2500 0.1475 0.5659  4 Si 2.37-2.56
Co 0.7500 0.8525 0.4341  4 Si 2.37-2.56
Co 0.7500 0.3525 0.0659  4 Si 2.37-2.56


[3]
Compound: InAg2Se
Source: Alexandria via LeMat-Bulk
Functional: GGA-PBE
Structure: relaxed

formation energy (no corrections)	79.9	meV/atom

abc: 7.8150 7.8150 6.2645
angles: 51.41 51.41 90.00
Last column: nearest neighbours and their distance in Å.
Sites, in units of the cell vectors:
Se 0.5000 0.5000 0.0000  4 Ag 2.74, 2 In 2.95
Se 0.2500 0.7500 0.5000  4 Ag 2.74, 2 In 2.95
Ag 0.6021 0.1250 0.2500  2 Se 2.74, 2 Ag 2.97, 2 In 2.98
Ag 0.1479 0.6250 0.2500  2 Se 2.74, 2 Ag 2.97, 2 In 2.98
Ag 0.3750 0.3979 0.7500  2 Se 2.74, 2 Ag 2.97, 2 In 2.98
Ag 0.8750 0.8521 0.7500  2 Se 2.74, 2 Ag 2.97, 2 In 2.98
In 0.0000 0.0000 0.0000  2 Se 2.95, 4 Ag 2.98
In 0.7500 0.2500 0.5000  2 Se 2.95, 4 Ag 2.98